#i
# BeReMo3

A relaxed structure of BeReMo3 (PBE, the Alexandria database).

Cell lengths 4.724, 4.724, 4.724 Å; angles 90.00, 90.00, 90.00 degrees
Sites, in units of the cell vectors:
Re  0.000  0.000  0.000
Mo  0.000  0.500  0.000
Mo  0.000  0.000  0.500
Mo  0.500  0.000  0.000
Be  0.500  0.500  0.500

#ii
# BeReMo3

A relaxed structure of BeReMo3 (PBE, the Alexandria database).

Cell lengths 4.200, 4.200, 4.200 Å; angles 90.00, 90.00, 90.00 degrees
Sites, in units of the cell vectors:
Re  0.500  0.500  0.500
Mo  0.000  0.500  0.000
Mo  0.000  0.000  0.500
Mo  0.500  0.000  0.000
Be  0.000  0.000  0.000

The most stable of them is #ii.

#i
# Be3ReMo

A relaxed structure of Be3ReMo (PBE, the Alexandria database).

Cell lengths 4.065, 4.065, 4.065 Å; angles 90.00, 90.00, 90.00 degrees
Last column: magnetic moment on the atom in μB.
Sites, in units of the cell vectors:
Re  0.500  0.500  0.500  1.66
Mo  0.000  0.000  0.000  0.05
Be  0.000  0.500  0.000  -0.02
Be  0.000  0.000  0.500  -0.01
Be  0.500  0.000  0.000  -0.01

#ii
# Be3ReMo

A relaxed structure of Be3ReMo (PBE, the Alexandria database).

Cell lengths 4.088, 4.088, 4.088 Å; angles 90.00, 90.00, 90.00 degrees
Sites, in units of the cell vectors:
Re  0.000  0.000  0.000
Mo  0.500  0.500  0.500
Be  0.000  0.500  0.000
Be  0.000  0.000  0.500
Be  0.500  0.000  0.000

The most stable of them is #ii.

#i
# BeRe3Mo

A relaxed structure of BeRe3Mo (PBE, the Alexandria database).

Cell lengths 4.685, 4.685, 4.685 Å; angles 90.00, 90.00, 90.00 degrees
Last column: magnetic moment on the atom in μB.
Sites, in units of the cell vectors:
Re  0.000  0.500  0.000  0.55
Re  0.000  0.000  0.500  0.45
Re  0.500  0.000  0.000  0.61
Mo  0.000  0.000  0.000  -0.08
Be  0.500  0.500  0.500  -0.05

#ii
# BeRe3Mo

A relaxed structure of BeRe3Mo (PBE, the Alexandria database).

Cell lengths 4.145, 4.145, 4.145 Å; angles 90.00, 90.00, 90.00 degrees
Sites, in units of the cell vectors:
Re  0.000  0.500  0.000
Re  0.000  0.000  0.500
Re  0.500  0.000  0.000
Mo  0.500  0.500  0.500
Be  0.000  0.000  0.000

The most stable of them is #ii.

#i
# BeRe2Mo2

A relaxed structure of BeRe2Mo2 (PBE, the Alexandria database).

Cell lengths 4.215, 4.215, 6.024 Å; angles 69.52, 69.52, 90.00 degrees
Sites, in units of the cell vectors:
Re  0.382  0.382  0.237
Re  0.618  0.618  0.763
Mo  0.750  0.250  0.500
Mo  0.250  0.750  0.500
Be  0.000  0.000  0.000

#ii
# BeRe2Mo2

A relaxed structure of BeRe2Mo2 (PBE, the Alexandria database).

Cell lengths 7.397, 7.397, 2.951 Å; angles 90.00, 90.00, 90.00 degrees
Sites, in units of the cell vectors:
Re  0.357  0.857  0.000
Re  0.857  0.643  0.000
Re  0.643  0.143  0.000
Re  0.143  0.357  0.000
Mo  0.158  0.658  0.500
Mo  0.658  0.842  0.500
Mo  0.842  0.342  0.500
Mo  0.342  0.158  0.500
Be  0.000  0.000  0.000
Be  0.500  0.500  0.000

The most stable of them is #ii.

#i
# Be2MoRh

A relaxed structure of Be2MoRh (PBE, the Alexandria database).

Cell lengths 4.106, 4.106, 4.106 Å; angles 60.00, 60.00, 60.00 degrees
Sites, in units of the cell vectors:
Be  0.000  0.000  0.000
Be  0.250  0.250  0.250
Mo  0.500  0.500  0.500
Rh  0.750  0.750  0.750

#ii
# Be2MoRh

A relaxed structure of Be2MoRh (PBE, the Alexandria database).

Cell lengths 2.773, 2.773, 6.009 Å; angles 90.00, 90.00, 90.00 degrees
Sites, in units of the cell vectors:
Be  0.000  0.000  0.016
Be  0.500  0.500  0.205
Mo  0.000  0.000  0.483
Rh  0.500  0.500  0.796

#iii
# Be2MoRh

A relaxed structure of Be2MoRh (PBE, the Alexandria database).

Cell lengths 4.632, 4.632, 4.632 Å; angles 135.85, 135.85, 64.22 degrees
Sites, in units of the cell vectors:
Be  0.000  0.000  0.000
Be  0.250  0.750  0.500
Mo  0.500  0.500  0.000
Rh  0.750  0.250  0.500

The most stable of them is #ii.

#i
# Be2MoRh

A relaxed structure of Be2MoRh (PBE, the Alexandria database).

Cell lengths 2.775, 2.775, 5.958 Å; angles 90.00, 90.00, 90.00 degrees
Sites, in units of the cell vectors:
Be  0.000  0.000  0.963
Be  0.000  0.000  0.537
Mo  0.500  0.500  0.250
Rh  0.500  0.500  0.750

#ii
# Be2MoRh

A relaxed structure of Be2MoRh (PBE, the Alexandria database).

Cell lengths 4.796, 4.796, 4.038 Å; angles 65.09, 65.09, 33.89 degrees
Sites, in units of the cell vectors:
Be  0.985  0.985  0.015
Be  0.272  0.272  0.227
Mo  0.509  0.509  0.491
Rh  0.733  0.733  0.766

The most stable of them is #i.